[1]
VASP calculation (PBE) on a relaxed structure of Li3CaNb.

Cell: 5.1776 5.1776 5.1776 Å, 90.00 90.00 90.00°
Last column: nearest neighbours and their distance in Å.
Fractional positions:
Li 0.0000 0.0000 0.5000  2 Nb 2.59
Li 0.0000 0.5000 0.0000  2 Nb 2.59
Li 0.5000 0.0000 0.0000  2 Nb 2.59
Ca 0.5000 0.5000 0.5000  12 Li 3.66
Nb 0.0000 0.0000 0.0000  6 Li 2.59

- ΔH_f (0 K): 888 meV per atom
- Total magnetic moment: 0.8932 μB/atom

[2]
VASP calculation (PBE) on a relaxed structure of LiCaNb.

Cell: 3.5942 3.5978 11.5670 Å, 90.00 90.14 90.00°
Last column: nearest neighbours and their distance in Å.
Fractional positions:
Li 0.2498 0.2500 0.0627  4 Li 2.92-2.93
Li 0.7502 0.7500 0.9373  4 Li 2.92-2.93
Ca 0.2507 0.2500 0.7373  5 Nb 3.27-3.38, 4 Li 3.43-3.44, 4 Ca 3.59-3.60
Ca 0.7492 0.7500 0.2627  5 Nb 3.27-3.38, 4 Li 3.43-3.44, 4 Ca 3.59-3.60
Nb 0.2497 0.2500 0.4551  4 Nb 2.75
Nb 0.7503 0.7500 0.5449  4 Nb 2.75

- ΔH_f (0 K): 189 meV per atom
- Total magnetic moment: 0.0000 μB/atom

[3]
VASP calculation (PBE) on a relaxed structure of LiCaNb.

Cell: 3.1690 4.5799 10.3859 Å, 90.40 96.16 90.03°
Last column: nearest neighbours and their distance in Å.
Fractional positions:
Li 0.2156 0.2504 0.4299  6 Li 3.10-3.18, 5 Ca 3.38-3.44
Li 0.7844 0.7496 0.5701  6 Li 3.10-3.18, 5 Ca 3.38-3.44
Ca 0.3665 0.2497 0.7603  4 Nb 3.16-3.39, 2 Ca 3.17, 5 Li 3.38-3.44
Ca 0.6335 0.7503 0.2397  4 Nb 3.16-3.39, 2 Ca 3.17, 5 Li 3.38-3.44
Nb 0.1114 0.7510 0.9627  2 Nb 2.53-2.55
Nb 0.8886 0.2490 0.0373  2 Nb 2.53-2.55

- ΔH_f (0 K): 328 meV per atom
- Total magnetic moment: 0.0000 μB/atom

[4]
VASP calculation (PBE) on a relaxed structure of Li2CaNbO4.

Cell: 5.0713 5.0713 5.0713 Å, 115.40 115.40 98.17°
Last column: nearest neighbours and their distance in Å.
Fractional positions:
Li 0.2500 0.7500 0.5000  4 O 2.06
Li 0.7500 0.2500 0.5000  4 O 2.06
Ca 0.0000 0.0000 0.0000  4 O 2.31
Nb 0.5000 0.5000 0.0000  4 O 1.96
O 0.1344 0.5832 0.0000  1 Nb 1.96, 2 Li 2.06
O 0.4168 0.4168 0.5512  1 Nb 1.96, 2 Li 2.06
O 0.5832 0.1344 0.0000  1 Nb 1.96, 2 Li 2.06
O 0.8656 0.8656 0.4488  1 Nb 1.96, 2 Li 2.06

- Total magnetic moment: 0.1251 μB/atom
- Raw formation energy: -2.338 eV per atom

[5]
VASP calculation (PBE) on a relaxed structure of Li2Ca2NbO6.

Cell: 5.2925 5.2925 5.3462 Å, 90.00 90.00 120.00°
Last column: nearest neighbours and their distance in Å.
Fractional positions:
Li 0.3333 0.6667 0.0000  6 O 2.14
Li 0.6667 0.3333 0.0000  6 O 2.14
Ca 0.3333 0.6667 0.5000  6 O 2.36
Ca 0.6667 0.3333 0.5000  6 O 2.36
Nb 0.0000 0.0000 0.0000  6 O 2.04
O 0.0000 0.3177 0.7843  1 Nb 2.04, 2 Li 2.14
O 0.0000 0.6823 0.2157  1 Nb 2.04, 2 Li 2.14
O 0.3177 0.0000 0.7843  1 Nb 2.04, 2 Li 2.14
O 0.3177 0.3177 0.2157  1 Nb 2.04, 2 Li 2.14
O 0.6823 0.0000 0.2157  1 Nb 2.04, 2 Li 2.14
O 0.6823 0.6823 0.7843  1 Nb 2.04, 2 Li 2.14

- Total magnetic moment: 0.0978 μB/atom
- Raw formation energy: -2.338 eV per atom

[6]
VASP calculation (PBE) on a relaxed structure of LiCa2Nb3O10.

Cell: 5.5240 5.5444 28.6688 Å, 90.00 90.40 90.00°
Last column: nearest neighbours and their distance in Å.
Fractional positions:
Li 0.0002 0.2492 0.0022  4 O 1.99-2.06
Li 0.0002 0.2508 0.5022  4 O 1.99-2.06
Li 0.9998 0.7492 0.4978  4 O 1.99-2.06
Li 0.9998 0.7508 0.9978  4 O 1.99-2.06
Ca 0.2645 0.5076 0.8275  6 O 2.46-2.50
Ca 0.2645 0.9924 0.3275  6 O 2.46-2.50
Ca 0.2720 0.0167 0.1708  7 O 2.35-2.59
Ca 0.2720 0.4833 0.6708  7 O 2.35-2.59
Ca 0.7280 0.5167 0.3292  7 O 2.35-2.59
Ca 0.7280 0.9833 0.8292  7 O 2.35-2.59
Ca 0.7355 0.0076 0.6725  6 O 2.46-2.50
Ca 0.7355 0.4924 0.1725  6 O 2.46-2.50
Nb 0.2402 0.0029 0.8999  3 O 1.81-2.00
Nb 0.2402 0.4971 0.3999  3 O 1.81-2.00
Nb 0.2445 0.5014 0.0997  4 O 1.80-2.02
Nb 0.2445 0.9986 0.5997  4 O 1.80-2.02
Nb 0.2477 0.5220 0.2493  6 O 1.94-2.16
Nb 0.2477 0.9780 0.7493  6 O 1.94-2.16
Nb 0.7523 0.0220 0.2507  6 O 1.94-2.16
Nb 0.7523 0.4780 0.7507  6 O 1.94-2.16
Nb 0.7555 0.0014 0.4003  4 O 1.80-2.02
Nb 0.7555 0.4986 0.9003  4 O 1.80-2.02
Nb 0.7598 0.5029 0.6001  3 O 1.81-2.00
Nb 0.7598 0.9971 0.1001  3 O 1.81-2.00
O 0.0072 0.7418 0.8820  2 Nb 2.00-2.01
O 0.0072 0.7582 0.3820  2 Nb 2.00-2.01
O 0.0086 0.7468 0.6252  2 Nb 2.05
O 0.0086 0.7532 0.1252  2 Nb 2.05
O 0.0664 0.1800 0.2588  2 Nb 1.96-2.16
O 0.0664 0.3200 0.7588  2 Nb 1.96-2.16
O 0.1726 0.0175 0.9613  1 Nb 1.81, 1 Li 1.99
O 0.1726 0.4825 0.4613  1 Nb 1.81, 1 Li 1.99
O 0.1776 0.5182 0.0381  1 Nb 1.80, 1 Li 1.99
O 0.1776 0.9818 0.5381  1 Nb 1.80, 1 Li 1.99
O 0.2764 0.5505 0.3173  1 Nb 1.96
O 0.2764 0.9495 0.8173  1 Nb 1.96
O 0.2987 0.0658 0.6836  1 Nb 1.97
O 0.2987 0.4342 0.1836  1 Nb 1.97
O 0.4223 0.6770 0.7407  2 Nb 1.94-2.15
O 0.4223 0.8230 0.2407  2 Nb 1.94-2.15
O 0.4907 0.2373 0.1035  2 Nb 2.00
O 0.4907 0.2627 0.6035  2 Nb 2.00
O 0.4917 0.2408 0.3847  2 Nb 2.02-2.04
O 0.4917 0.2592 0.8847  2 Nb 2.02-2.04
O 0.5083 0.7408 0.1153  2 Nb 2.02-2.04
O 0.5083 0.7592 0.6153  2 Nb 2.02-2.04
O 0.5093 0.7373 0.3965  2 Nb 2.00
O 0.5093 0.7627 0.8965  2 Nb 2.00
O 0.5777 0.1770 0.7593  2 Nb 1.94-2.15
O 0.5777 0.3230 0.2593  2 Nb 1.94-2.15
O 0.7013 0.5658 0.8164  1 Nb 1.97
O 0.7013 0.9342 0.3164  1 Nb 1.97
O 0.7236 0.0505 0.1827  1 Nb 1.96
O 0.7236 0.4495 0.6827  1 Nb 1.96
O 0.8224 0.0182 0.4619  1 Nb 1.80, 1 Li 1.99
O 0.8224 0.4818 0.9619  1 Nb 1.80, 1 Li 1.99
O 0.8274 0.5175 0.5387  1 Nb 1.81, 1 Li 1.99
O 0.8274 0.9825 0.0387  1 Nb 1.81, 1 Li 1.99
O 0.9336 0.6800 0.2412  2 Nb 1.96-2.16
O 0.9336 0.8200 0.7412  2 Nb 1.96-2.16
O 0.9914 0.2468 0.8748  2 Nb 2.05
O 0.9914 0.2532 0.3748  2 Nb 2.05
O 0.9928 0.2418 0.6180  2 Nb 2.00-2.01
O 0.9928 0.2582 0.1180  2 Nb 2.00-2.01

- Total magnetic moment: 0.0000 μB/atom
- Raw formation energy: -2.726 eV per atom

[7]
VASP calculation (PBE) on a relaxed structure of Li7Ca8Nb12O40.

Cell: 5.5910 5.5911 26.8347 Å, 90.33 90.01 90.00°
Last column: nearest neighbours and their distance in Å.
Fractional positions:
Li 0.0000 0.0000 0.0000  5 O 2.00-2.22
Li 0.9996 0.5005 0.0111  4 O 2.09
Li 0.4854 0.5018 0.5216  3 O 2.00-2.21
Li 0.4863 0.0011 0.5111  4 O 1.98
Li 0.4994 0.0009 0.0112  4 O 2.10
Li 0.5000 0.5012 0.0223  5 O 2.00-2.22
Li 0.9864 0.9990 0.5007  3 O 2.00-2.21
Ca 0.2308 0.2402 0.3388  7 O 2.43-2.68
Ca 0.2342 0.7593 0.8464  6 O 2.40-2.53
Ca 0.2490 0.7430 0.6788  6 O 2.40-2.51
Ca 0.2551 0.2600 0.1810  7 O 2.45-2.59
Ca 0.7302 0.2607 0.6835  7 O 2.43-2.68
Ca 0.7365 0.7396 0.1759  6 O 2.40-2.53
Ca 0.7483 0.7591 0.3435  6 O 2.40-2.51
Ca 0.7544 0.2406 0.8413  7 O 2.45-2.59
Nb 0.2320 0.2483 0.6077  5 O 1.84-2.05
Nb 0.2410 0.7441 0.4145  5 O 1.84-2.05
Nb 0.2442 0.2497 0.7632  6 O 1.95-2.08
Nb 0.2438 0.7519 0.2591  6 O 1.95-2.08
Nb 0.2462 0.7562 0.1056  5 O 1.89-2.04
Nb 0.2528 0.2515 0.9167  5 O 1.89-2.04
Nb 0.7302 0.2521 0.4146  5 O 1.83-2.05
Nb 0.7399 0.7592 0.6077  5 O 1.84-2.05
Nb 0.7431 0.7482 0.7633  6 O 1.95-2.08
Nb 0.7454 0.2508 0.2590  6 O 1.95-2.07
Nb 0.7455 0.7445 0.9167  5 O 1.89-2.04
Nb 0.7533 0.2490 0.1055  5 O 1.89-2.04
O 0.0025 0.5012 0.1197  2 Nb 2.01-2.02
O 0.0030 0.9946 0.9223  2 Nb 2.01, 1 Li 2.09
O 0.0472 0.9460 0.7472  2 Nb 2.07-2.08
O 0.0536 0.4424 0.2561  2 Nb 2.03
O 0.1704 0.7963 0.3297  1 Nb 1.95
O 0.1980 0.1836 0.8359  2 Nb 2.01-2.22
O 0.2216 0.7774 0.0354  1 Nb 1.89, 3 Li 2.00-2.10
O 0.2228 0.1928 0.5403  1 Nb 1.84, 2 Li 1.98-2.01
O 0.2761 0.2779 0.9869  1 Nb 1.89, 3 Li 2.00-2.10
O 0.2866 0.3213 0.6926  1 Nb 1.95
O 0.2945 0.7374 0.4820  1 Nb 1.84, 2 Li 1.98-2.00
O 0.3120 0.7038 0.1864  2 Nb 2.00-2.22
O 0.4349 0.0611 0.2596  2 Nb 2.03
O 0.4442 0.5503 0.7816  2 Nb 2.07-2.08
O 0.4825 0.9999 0.3947  2 Nb 2.04-2.05
O 0.4820 0.5074 0.6038  2 Nb 2.02, 1 Li 2.21
O 0.4865 0.4982 0.3896  2 Nb 2.05
O 0.4884 0.0075 0.6276  2 Nb 2.04-2.05
O 0.4984 0.0054 0.1180  2 Nb 2.00-2.01
O 0.4983 0.4986 0.8945  2 Nb 2.04
O 0.5016 0.9990 0.9042  2 Nb 2.00-2.01
O 0.5033 0.5063 0.1000  2 Nb 2.01, 1 Li 2.09
O 0.5471 0.5553 0.2751  2 Nb 2.07
O 0.5534 0.0586 0.7628  2 Nb 2.03
O 0.6774 0.2637 0.4821  1 Nb 1.83, 2 Li 1.98-2.01
O 0.6807 0.6912 0.6925  1 Nb 1.95
O 0.6891 0.3122 0.1864  2 Nb 2.01-2.22
O 0.7231 0.7224 0.9869  1 Nb 1.89, 3 Li 2.00-2.10
O 0.7492 0.8097 0.5402  1 Nb 1.84, 2 Li 1.98-2.00
O 0.7776 0.2248 0.0354  1 Nb 1.89, 3 Li 2.00-2.10
O 0.8005 0.1905 0.3298  1 Nb 1.95
O 0.8066 0.8065 0.8359  2 Nb 2.01-2.22
O 0.9348 0.4401 0.7662  2 Nb 2.03
O 0.9438 0.9513 0.2407  2 Nb 2.07-2.08
O 0.9818 0.9942 0.4185  2 Nb 2.02, 1 Li 2.21
O 0.9836 0.5026 0.6222  2 Nb 2.02
O 0.9868 0.0035 0.6327  2 Nb 2.05
O 0.9873 0.4952 0.4001  2 Nb 2.02
O 0.9973 0.4948 0.9027  2 Nb 2.01-2.02
O 0.9986 0.0024 0.1278  2 Nb 2.04

- Total magnetic moment: 0.0000 μB/atom
- Raw formation energy: -2.686 eV per atom

[8]
VASP calculation (PBE) on a relaxed structure of LiCaNbPt2.

Cell: 4.5098 4.5098 4.4960 Å, 90.00 90.00 90.00°
Last column: nearest neighbours and their distance in Å.
Fractional positions:
Li 0.0000 0.0000 0.0000  2 Nb 2.25, 4 Pt 2.25
Ca 0.5000 0.5000 0.5000  8 Pt 3.18, 4 Nb 3.19
Nb 0.0000 0.0000 0.5000  2 Li 2.25
Pt 0.0000 0.5000 0.0000  2 Li 2.25
Pt 0.5000 0.0000 0.0000  2 Li 2.25

- ΔH_f (0 K): 243 meV per atom
- Total magnetic moment: 0.6241 μB/atom

[9]
VASP calculation (PBE) on a relaxed structure of LiCa2NbTe.

Cell: 5.9360 5.9360 5.2590 Å, 90.00 90.00 90.00°
Last column: nearest neighbours and their distance in Å.
Fractional positions:
Li 0.0000 0.0000 0.0000  8 Ca 3.97, 4 Nb 4.20
Ca 0.0000 0.5000 0.5000  2 Te 2.97
Ca 0.5000 0.0000 0.5000  2 Te 2.97
Nb 0.5000 0.5000 0.0000  2 Te 2.63
Te 0.5000 0.5000 0.5000  2 Nb 2.63

- Total magnetic moment: 0.6457 μB/atom
- Raw formation energy: 0.337 eV per atom

[10]
VASP calculation (PBE) on a relaxed structure of LiCaNb2V.

Cell: 4.6406 4.6406 5.7791 Å, 90.00 90.00 90.00°
Last column: nearest neighbours and their distance in Å.
Fractional positions:
Li 0.0000 0.0000 0.0000  4 Ca 3.28
Ca 0.5000 0.5000 0.0000  2 V 2.89
Nb 0.0000 0.5000 0.5000  2 V 2.32
Nb 0.5000 0.0000 0.5000  2 V 2.32
V 0.5000 0.5000 0.5000  4 Nb 2.32

- ΔH_f (0 K): 914 meV per atom
- Total magnetic moment: 0.0000 μB/atom

[11]
VASP calculation (PBE) on a relaxed structure of Li8Ca3Nd.

Cell: 6.1439 6.1439 9.8329 Å, 90.00 90.00 120.00°
Last column: nearest neighbours and their distance in Å.
Fractional positions:
Li 0.0000 0.0000 0.0000  6 Li 3.02
Li 0.0000 0.0000 0.4955  6 Li 3.03-3.09
Li 0.1680 0.3359 0.2469  6 Li 3.02-3.10
Li 0.1680 0.8320 0.2469  6 Li 3.02-3.10
Li 0.3345 0.1672 0.7521  6 Li 3.02-3.09
Li 0.6641 0.8320 0.2469  6 Li 3.02-3.10
Li 0.8328 0.1672 0.7521  6 Li 3.02-3.09
Li 0.8328 0.6655 0.7521  6 Li 3.02-3.09
Ca 0.3333 0.6667 0.5616  12 Li 3.56-3.61, 4 Ca 3.71-3.76
Ca 0.3333 0.6667 0.9393  12 Li 3.50-3.60, 1 Ca 3.71, 3 Nd 3.74
Ca 0.6667 0.3333 0.4343  12 Li 3.58-3.60, 1 Nd 3.67, 3 Ca 3.76
Nd 0.6667 0.3333 0.0606  12 Li 3.51-3.60, 4 Ca 3.67-3.74

- ΔH_f (0 K): 26 meV per atom
- Total magnetic moment: 0.0000 μB/atom

[12]
VASP calculation (PBE) on a relaxed structure of LiCaNd2.

Cell: 5.6846 5.6846 4.0987 Å, 90.00 90.00 90.00°
Last column: nearest neighbours and their distance in Å.
Fractional positions:
Li 0.0000 0.0000 0.0000  8 Nd 3.50
Ca 0.5000 0.5000 0.0000  8 Nd 3.50
Nd 0.0000 0.5000 0.5000  4 Ca 3.50, 4 Li 3.50
Nd 0.5000 0.0000 0.5000  4 Ca 3.50, 4 Li 3.50

- ΔH_f (0 K): 175 meV per atom
- Total magnetic moment: 0.0000 μB/atom

The following VASP energy values (in eV/f.u.) correspond, in order, to the records above: -13.374 -13.418 -13.000 -54.439 -73.368 -129.323 -528.550 -24.854 -17.441 -28.602 -25.776 -12.751.